# 1
Entry from OQMD via LeMat-Bulk: SrGaSnIrPd after structural relaxation (PBE-GGA).

Relative energy among the computed polymorphs = 5 meV per atom
Calculated total energy = -0.3797 Ry per atom
Calculated volume = 215 Å³ per cell

Unit cell a=4.578 b=4.578 c=10.273 alpha=90.00 beta=90.00 gamma=90.00
Fractional positions:
Ga 0.500 0.000 0.882
Ga 0.000 0.500 0.118
Sr 0.500 0.000 0.235
Sr 0.000 0.500 0.765
Pd 0.500 0.500 0.000
Pd 0.000 0.000 0.000
Ir 0.500 0.000 0.640
Ir 0.000 0.500 0.360
Sn 0.000 0.000 0.500
Sn 0.500 0.500 0.500

=====

# 2
Entry from OQMD via LeMat-Bulk: GaFeTcNi after structural relaxation (PBE-GGA).

Relative energy among the computed polymorphs = 130 meV per atom
Calculated total energy = -0.4969 Ry per atom
Calculated volume = 51 Å³ per cell

Unit cell a=4.164 b=4.164 c=4.164 alpha=60.00 beta=60.00 gamma=60.00
Fractional positions:
Tc 0.250 0.250 0.250
Ga 0.000 0.000 0.000
Ni 0.500 0.500 0.500
Fe 0.750 0.750 0.750

=====

# 3
Entry from OQMD via LeMat-Bulk: Tb2Hf2O5 after structural relaxation (PBE-GGA).

Relative energy among the computed polymorphs = 0 meV per atom
Calculated total energy = -0.6432 Ry per atom
Calculated volume = 122 Å³ per cell

Unit cell a=7.342 b=4.076 c=4.076 alpha=90.00 beta=90.00 gamma=90.00
Fractional positions:
O 0.741 0.000 0.500
O 0.259 0.000 0.500
O 0.259 0.500 0.000
O 0.500 0.500 0.500
O 0.741 0.500 0.000
Tb 0.500 0.000 0.000
Tb 0.000 0.000 0.000
Hf 0.218 0.500 0.500
Hf 0.782 0.500 0.500

=====

# 4
Entry from OQMD via LeMat-Bulk: Nb2InTc after structural relaxation (PBE-GGA).

Calculated total energy = -0.6021 Ry per atom
Calculated volume = 71 Å³ per cell

Unit cell a=4.653 b=4.653 c=4.653 alpha=60.00 beta=60.00 gamma=60.00
Fractional positions:
Tc 0.250 0.250 0.250
Nb 0.750 0.750 0.750
Nb 0.000 0.000 0.000
In 0.500 0.500 0.500

=====

# 5
Entry from OQMD via LeMat-Bulk: NdGd2Cd3Cu2Ag after structural relaxation (PBE-GGA).

Calculated total energy = -0.2425 Ry per atom
Energy of formation from the pure elements = -298 meV/atom
Calculated volume = 202 Å³ per cell

Unit cell a=3.918 b=7.709 c=7.709 alpha=119.88 beta=90.00 gamma=90.00
Fractional positions:
Cd 0.500 0.997 0.266
Cd 0.500 0.266 0.997
Cd 0.500 0.736 0.736
Gd 0.000 0.000 0.589
Gd 0.000 0.589 0.000
Cu 0.500 0.670 0.332
Cu 0.500 0.332 0.670
Ag 0.000 0.999 0.999
Nd 0.000 0.411 0.411

=====

# 6
Entry from OQMD via LeMat-Bulk: Hf2NiHg after structural relaxation (PBE-GGA).

Calculated total energy = -0.4584 Ry per atom
Energy of formation from the pure elements = 207 meV/atom
Calculated volume = 75 Å³ per cell

Unit cell a=4.723 b=4.723 c=4.723 alpha=60.00 beta=60.00 gamma=60.00
Fractional positions:
Ni 0.500 0.500 0.500
Hf 0.000 0.000 0.000
Hf 0.750 0.750 0.750
Hg 0.250 0.250 0.250